# 1
Entry from Alexandria: a relaxed structure of ZrAlZn2 (PBE).

It has space group C2/m (No. 12), with a = 8.973 Å, b = 3.066 Å, c = 5.227 Å, α = 90.00°, β = 101.25° and γ = 90.00°. The asymmetric unit holds Zr at (0.000, 0.000, 0.000), Al at (0.000, 0.500, 0.500) and Zn at (0.243, 0.000, 0.721).

As for the formation energy: -0.135 eV/atom. Its magnetic moment is 0.000 μB per atom.


# 2
Entry from Alexandria: a relaxed structure of Zr3Al3Zn2 (PBE).

It has space group Cmcm (No. 63), with a = 4.111 Å, b = 10.209 Å, c = 13.990 Å, α = 90.00°, β = 90.00° and γ = 90.00°. The asymmetric unit holds Zr at (0.000, 0.074, 0.114), Zr at (0.000, 0.353, 0.250), Al at (0.000, 0.368, 0.750), Al at (0.000, 0.383, 0.039) and Zn at (0.000, 0.215, 0.608).

As for the formation energy: -0.426 eV/atom. Its magnetic moment is 0.000 μB per atom.


# 3
Entry from Alexandria: a relaxed structure of ZrAlZn2 (PBE).

It has space group F-43m (No. 216), with a = 6.499 Å, b = 6.499 Å, c = 6.499 Å, α = 90.00°, β = 90.00° and γ = 90.00°. The asymmetric unit holds Zr at (0.000, 0.000, 0.000), Al at (0.250, 0.250, 0.750), Zn at (0.000, 0.000, 0.500) and Zn at (0.250, 0.250, 0.250).

As for the formation energy: -0.049 eV/atom. Its magnetic moment is 0.000 μB per atom.


# 4
Entry from Alexandria: a relaxed structure of Zr3AlZn4 (PBE).

It has space group Immm (No. 71), with a = 2.933 Å, b = 5.393 Å, c = 18.915 Å, α = 90.00°, β = 90.00° and γ = 90.00°. The asymmetric unit holds Zr at (0.000, 0.000, 0.000), Zr at (0.000, 0.500, 0.240), Al at (0.000, 0.000, 0.500) and Zn at (0.000, 0.254, 0.379).

As for the formation energy: -0.112 eV/atom. Its magnetic moment is 0.000 μB per atom.


# 5
Entry from Alexandria: a relaxed structure of Zr4AlZn3 (PBE).

It has space group P4/mmm (No. 123), with a = 3.113 Å, b = 3.113 Å, c = 15.532 Å, α = 90.00°, β = 90.00° and γ = 90.00°. The asymmetric unit holds Zr at (0.000, 0.000, 0.124), Zr at (0.000, 0.000, 0.372), Al at (0.500, 0.500, 0.500), Zn at (0.500, 0.500, 0.000) and Zn at (0.500, 0.500, 0.246).

As for the formation energy: -0.305 eV/atom. Its magnetic moment is 0.000 μB per atom.


# 6
Entry from Alexandria: a relaxed structure of Zr6Al3Zn (PBE).

It has space group P2_1/c (No. 14), with a = 5.518 Å, b = 7.867 Å, c = 11.189 Å, α = 90.00°, β = 118.83° and γ = 90.00°. The asymmetric unit holds Zr at (0.026, 0.168, 0.439), Zr at (0.355, 0.671, 0.440), Zr at (0.413, 0.045, 0.251), Al at (0.000, 0.000, 0.000), Al at (0.117, 0.120, 0.753) and Zn at (0.500, 0.000, 0.500).

As for the formation energy: -0.115 eV/atom. Its magnetic moment is 0.000 μB per atom.


# 7
Entry from Alexandria: a relaxed structure of Zr3AlZn3 (PBE).

It has space group Imm2 (No. 44), with a = 3.287 Å, b = 4.250 Å, c = 18.636 Å, α = 90.00°, β = 90.00° and γ = 90.00°. The asymmetric unit holds Zr at (0.000, 0.000, 0.000), Zr at (0.000, 0.000, 0.403), Zr at (0.000, 0.500, 0.200), Al at (0.000, 0.500, 0.768), Zn at (0.000, 0.000, 0.560), Zn at (0.000, 0.000, 0.842) and Zn at (0.000, 0.500, 0.633).

As for the formation energy: -0.304 eV/atom. Its magnetic moment is 0.079 μB per atom.


# 8
Entry from Alexandria: a relaxed structure of Zr3AlZn (PBE).

It has space group Pm-3m (No. 221), with a = 4.948 Å, b = 4.948 Å, c = 4.948 Å, α = 90.00°, β = 90.00° and γ = 90.00°. The asymmetric unit holds Zr at (0.000, 0.000, 0.500), Al at (0.500, 0.500, 0.500) and Zn at (0.000, 0.000, 0.000).

As for the formation energy: 0.454 eV/atom. Its magnetic moment is 0.000 μB per atom.


# 9
Entry from Alexandria: a relaxed structure of ZrAl3Zn (PBE).

It has space group Pm-3m (No. 221), with a = 5.289 Å, b = 5.289 Å, c = 5.289 Å, α = 90.00°, β = 90.00° and γ = 90.00°. The asymmetric unit holds Zr at (0.000, 0.000, 0.000), Al at (0.000, 0.000, 0.500) and Zn at (0.500, 0.500, 0.500).

As for the formation energy: 1.050 eV/atom. Its magnetic moment is 0.000 μB per atom.


# 10
Entry from Alexandria: a relaxed structure of Zr12AlZn6 (PBE).

It has space group Im-3 (No. 204), with a = 9.213 Å, b = 9.213 Å, c = 9.213 Å, α = 90.00°, β = 90.00° and γ = 90.00°. The asymmetric unit holds Zr at (0.000, 0.184, 0.271), Al at (0.000, 0.000, 0.000) and Zn at (0.000, 0.368, 0.500).

As for the formation energy: -0.103 eV/atom. Its magnetic moment is 0.000 μB per atom.


# 11
Entry from Alexandria: a relaxed structure of ZrAlZn2 (PBE).

It has space group R-3m (No. 166, hexagonal axes), with a = 2.9391 Å, b = 2.9391 Å, c = 28.3671 Å, α = 90.00°, β = 90.00° and γ = 120.00°. The asymmetric unit holds Zr at (0.0000, 0.0000, 0.0000), Al at (0.0000, 0.0000, 0.5000) and Zn at (0.0000, 0.0000, 0.2451).

As for the formation energy: -0.026 eV/atom. Its magnetic moment is 0.000 μB per atom.


# 12
Entry from Alexandria: a relaxed structure of Zr2AlZn2 (PBE).

It has space group P4/mbm (No. 127), with a = 7.646 Å, b = 7.646 Å, c = 3.411 Å, α = 90.00°, β = 90.00° and γ = 90.00°. The asymmetric unit holds Zr at (0.167, 0.333, 0.000), Al at (0.000, 0.000, 0.000) and Zn at (0.132, 0.632, 0.500).

As for the formation energy: 0.035 eV/atom. Its magnetic moment is 0.000 μB per atom.